[1]
68
Lattice="10.291 0.000 0.000 0.000 6.476 0.000 -2.888 0.000 12.235" Properties=species:S:1:pos:R:3 comment="BaBi2B4O10, relaxed, DFT PBE" dos_at_fermi_per_ev_atom=0.00 formation_energy_uncorrected_ev_per_atom=-2.220 spacegroup="P2_1/c (14)" pbc="T T T"
Ba 0.226 0.619 4.614
Ba -1.218 2.620 10.732
Ba 8.621 3.857 1.503
Ba 7.177 5.858 7.620
Bi 0.977 4.195 7.697
Bi 2.421 5.519 1.580
Bi 3.170 1.118 7.558
Bi 4.614 2.120 1.441
Bi 2.789 4.357 10.794
Bi 4.233 5.358 4.676
Bi 4.982 0.957 10.654
Bi 6.426 2.281 4.537
B -0.245 0.730 1.281
B -1.689 2.508 7.399
B 0.124 0.811 8.081
B 1.568 2.427 1.963
B 1.287 3.806 4.035
B -0.157 5.908 10.152
B 1.600 1.287 10.186
B 3.044 1.952 4.069
B 4.359 4.525 8.166
B 5.803 5.190 2.049
B 7.560 0.568 2.082
B 6.116 2.670 8.200
B 5.835 4.049 10.271
B 7.279 5.665 4.154
B 9.092 3.968 4.836
B 7.648 5.746 10.953
O -1.286 3.743 7.793
O 0.158 5.972 1.676
O -0.761 1.500 7.081
O 0.683 1.739 0.963
O 0.150 4.318 4.912
O -1.294 5.396 11.030
O -0.735 0.020 8.946
O 0.709 3.218 2.829
O 2.518 3.269 1.176
O 1.074 6.445 7.293
O 0.649 4.685 9.806
O 2.093 5.029 3.689
O 2.335 1.417 2.780
O 0.891 1.821 8.897
O 0.651 0.398 10.902
O 2.095 2.840 4.785
O 3.348 0.849 4.996
O 1.904 2.389 11.113
O 2.822 0.575 9.716
O 4.266 2.663 3.599
O 3.137 3.813 8.635
O 4.581 5.901 2.518
O 5.499 4.087 1.121
O 4.055 5.627 7.239
O 5.308 3.636 7.450
O 6.752 6.078 1.332
O 6.512 4.655 3.337
O 5.068 5.059 9.455
O 5.310 1.447 8.545
O 6.754 1.791 2.428
O 6.329 0.031 4.942
O 4.885 3.207 11.059
O 6.694 3.259 9.406
O 8.138 6.456 3.288
O 8.697 1.080 1.205
O 7.253 2.158 7.322
O 6.720 4.738 11.271
O 8.164 4.977 5.154
O 7.245 0.505 10.559
O 8.689 2.734 4.442

=====

[2]
4
Lattice="1.797 1.038 5.488 -1.797 1.038 5.488 0.000 -2.076 5.488" Properties=species:S:1:pos:R:3 comment="LiAsN2, relaxed, DFT PBE" dos_at_fermi_per_ev_atom=0.00 formation_energy_uncorrected_ev_per_atom=0.682 spacegroup="R-3m (166)" pbc="T T T"
Li 0.000 0.000 0.000
As 0.000 0.000 8.232
N 0.000 0.000 6.557
N 0.000 0.000 9.906

=====

[3]
28
Lattice="6.917 3.993 6.567 -6.917 3.993 6.567 0.000 -7.987 6.567" Properties=species:S:1:pos:R:3 comment="Rb3Pu2Br9, relaxed, DFT PBE" dos_at_fermi_per_ev_atom=1.60 formation_energy_uncorrected_ev_per_atom=-1.624 spacegroup="R-3c (167)" pbc="T T T"
Rb -4.605 0.011 8.209
Rb -2.312 -3.982 11.492
Rb 2.293 -3.993 8.209
Rb -2.293 3.993 11.492
Rb 2.312 3.982 8.209
Rb 4.605 -0.011 11.492
Pu 0.000 0.000 2.963
Pu 0.000 0.000 6.888
Pu 0.000 0.000 12.813
Pu 0.000 0.000 16.739
Br -1.389 -5.918 8.252
Br -5.820 -1.756 11.449
Br -2.185 0.000 4.925
Br -1.389 -2.068 8.165
Br 1.092 -1.892 4.925
Br -4.431 4.162 8.252
Br 1.092 1.892 4.925
Br -2.486 0.169 11.536
Br -1.096 2.237 8.165
Br 1.096 -2.237 11.536
Br 2.486 -0.169 8.165
Br -1.092 -1.892 14.776
Br 4.431 -4.162 11.449
Br -1.092 1.892 14.776
Br 1.389 2.068 11.536
Br 2.185 0.000 14.776
Br 5.820 1.756 8.252
Br 1.389 5.918 11.449

=====

[4]
4
Lattice="0.000 3.375 3.375 3.375 0.000 3.375 3.375 3.375 0.000" Properties=species:S:1:pos:R:3 comment="LiTbInOs, relaxed, DFT PBE" dos_at_fermi_per_ev_atom=0.58 total_energy_ev_per_atom=-5.240 spacegroup="F-43m (216)" pbc="T T T"
Li 0.000 0.000 0.000
Tb 1.687 1.687 1.687
In 5.062 5.062 5.062
Os 3.375 3.375 3.375

=====

[5]
4
Lattice="3.498 0.000 0.000 0.000 3.931 0.000 0.000 0.000 7.173" Properties=species:S:1:pos:R:3 comment="CoCl, relaxed, DFT PBE" dos_at_fermi_per_ev_atom=0.59 formation_energy_uncorrected_ev_per_atom=-0.054 spacegroup="Pmma (51)" pbc="T T T"
Co 0.874 0.000 0.710
Co 2.623 0.000 6.464
Cl 0.874 1.966 1.691
Cl 2.623 1.966 5.483

=====

[6]
26
Lattice="4.021 0.000 0.000 0.000 24.451 0.000 -1.999 0.000 6.717" Properties=species:S:1:pos:R:3 comment="Nd7CuS5, relaxed, DFT PBE" dos_at_fermi_per_ev_atom=0.64 formation_energy_uncorrected_ev_per_atom=-1.567 spacegroup="P2_1/m (11)" pbc="T T T"
Nd 0.000 6.113 0.497
Nd 0.001 13.129 1.845
Nd 0.001 23.548 1.845
Nd 0.006 4.308 4.200
Nd 0.006 7.918 4.200
Nd 0.009 14.833 5.549
Nd 0.009 21.844 5.549
Nd 2.013 2.607 1.168
Nd 2.013 9.618 1.168
Nd 2.015 16.533 2.517
Nd 2.015 20.144 2.517
Nd 2.021 0.903 4.872
Nd 2.021 11.322 4.872
Nd 2.021 18.338 6.220
Cu 0.009 18.338 4.016
Cu 2.013 6.113 2.700
S 0.000 15.717 0.646
S 0.000 20.960 0.646
S 0.007 1.734 3.023
S 0.007 10.492 3.023
S 2.010 0.000 0.000
S 2.010 12.226 0.000
S 2.015 13.960 3.693
S 2.015 22.717 3.693
S 2.021 3.491 6.071
S 2.021 8.734 6.071

=====

[7]
5
Lattice="4.328 2.499 1.269 -4.328 2.499 1.269 0.000 -4.998 1.269" Properties=species:S:1:pos:R:3 comment="Nb3InH, relaxed, DFT PBE" dos_at_fermi_per_ev_atom=0.80 total_energy_ev_per_atom=-6.878 spacegroup="R3m (160)" pbc="T T T"
Nb -1.858 -1.073 1.269
Nb 1.858 -1.073 1.269
Nb 0.000 2.146 1.269
In 0.000 0.000 3.168
H 0.000 0.000 1.216

=====

[8]
10
Lattice="9.572 0.000 0.000 0.000 9.572 0.000 0.000 0.000 4.286" Properties=species:S:1:pos:R:3 comment="RbSr2Hg2, relaxed, DFT PBE" dos_at_fermi_per_ev_atom=0.60 relative_energy_mev_per_atom=0 spacegroup="P4/mbm (127)" pbc="T T T"
Rb 0.000 0.000 0.000
Rb 4.786 4.786 0.000
Sr 1.402 3.384 2.143
Sr 3.384 8.170 2.143
Sr 6.188 1.402 2.143
Sr 8.170 6.188 2.143
Hg 1.365 6.151 0.000
Hg 3.421 1.365 0.000
Hg 6.151 8.207 0.000
Hg 8.207 3.421 0.000

=====

[9]
10
Lattice="4.030 -1.822 0.000 4.030 1.822 0.000 -3.514 0.000 6.531" Properties=species:S:1:pos:R:3 comment="GaCo3H, relaxed, DFT PBE" dos_at_fermi_per_ev_atom=0.80 relative_energy_mev_per_atom=38 spacegroup="Cm (8)" pbc="T T T"
Ga 0.000 0.000 0.000
Ga 1.659 0.000 4.748
Co -1.645 0.000 3.070
Co 0.751 0.000 2.360
Co -0.986 0.000 5.671
Co 3.093 0.000 1.591
Co 5.632 0.000 0.750
Co 4.003 0.000 3.988
H -0.308 0.000 4.085
H 4.765 0.000 2.367

=====

[10]
5
Lattice="4.923 0.000 0.000 0.000 4.923 0.000 0.000 0.000 4.923" Properties=species:S:1:pos:R:3 comment="TlFe3S, relaxed, DFT PBE" dos_at_fermi_per_ev_atom=3.77 relative_energy_mev_per_atom=1539 formation_energy_uncorrected_ev_per_atom=1.781 spacegroup="Pm-3m (221)" pbc="T T T"
Tl 0.000 0.000 0.000
Fe 0.000 0.000 2.461
Fe 0.000 2.461 0.000
Fe 2.461 0.000 0.000
S 2.461 2.461 2.461

=====

[11]
12
Lattice="9.325 -2.067 0.000 9.325 2.067 0.000 -2.174 0.000 8.448" Properties=species:S:1:pos:R:3 comment="Th6SiIr2Se3, relaxed, DFT PBE" dos_at_fermi_per_ev_atom=0.82 formation_energy_uncorrected_ev_per_atom=-1.244 spacegroup="C2/m (12)" pbc="T T T"
Th -0.389 0.000 2.069
Th 5.142 0.000 3.697
Th 4.294 0.000 7.586
Th 12.182 0.000 0.862
Th 11.334 0.000 4.751
Th 16.866 0.000 6.379
Si 9.325 0.000 0.000
Ir 2.409 0.000 2.805
Ir 14.068 0.000 5.643
Se 1.188 0.000 7.034
Se 8.238 0.000 4.224
Se 15.289 0.000 1.414

=====

[12]
4
Lattice="0.000 3.068 3.068 3.068 0.000 3.068 3.068 3.068 0.000" Properties=species:S:1:pos:R:3 comment="Ti2AlFe, relaxed, DFT PBE" dos_at_fermi_per_ev_atom=0.97 total_energy_ev_per_atom=-7.233 spacegroup="F-43m (216)" pbc="T T T"
Ti 0.000 0.000 0.000
Ti 1.534 1.534 1.534
Al 3.068 3.068 3.068
Fe 4.602 4.602 4.602